(1)
Computed, not measured: crystalline Li2Pm2MoO6 at its relaxed geometry at the PBE with a Hubbard U level of DFT.

Cell and atoms, written as POSCAR:
```
Li2Pm2MoO6
1.0
-3.100 2.408 -4.084
-4.890 -2.363 -1.610
-5.177 2.798 1.651
Li Pm Mo O
2 2 1 6
Cartesian
-7.140 2.038 -1.236
-6.027 0.805 -2.808
-9.549 1.770 -3.494
-3.619 1.073 -0.549
0.000 0.000 0.000
-7.458 0.799 -3.854
-5.778 -0.505 -1.641
-4.808 2.080 -2.981
-8.359 0.763 -1.062
-7.389 3.348 -2.402
-5.710 2.044 -0.190
```

Summary:
Final energy = -75.40 eV/cell
N(E_F) = 0.00 states/eV/cell
Space group = R-3m (166)

(2)
Computed, not measured: crystalline LiPmMo2O8 at its relaxed geometry at the PBE with a Hubbard U level of DFT.

Cell and atoms, written as POSCAR:
```
LiPmMo2O8
1.0
5.280 0.000 0.000
0.000 5.280 0.000
-2.640 -2.640 5.710
Li Pm Mo O
1 1 2 8
Cartesian
2.640 0.000 2.855
0.000 0.000 0.000
2.640 2.640 0.000
0.000 2.640 2.855
3.447 3.942 0.964
1.834 1.338 0.964
1.279 1.848 3.856
-1.279 3.432 3.856
-0.792 1.361 1.855
0.792 3.920 1.855
-1.302 0.807 4.746
1.302 -0.807 4.746
```

Summary:
Final energy = -85.99 eV/cell
N(E_F) = 0.00 states/eV/cell
Space group = I-4 (82)

(3)
Computed, not measured: crystalline LiPr2MoO5 at its relaxed geometry at the PBE with a Hubbard U level of DFT.

Cell and atoms, written as POSCAR:
```
LiPr2MoO5
1.0
-1.966 3.225 -4.411
-1.809 -5.783 -3.422
-6.293 0.216 2.962
Li Pr Mo O
2 4 2 10
Cartesian
-4.051 -2.783 -0.230
0.000 0.000 0.000
-3.328 -2.268 -3.998
-3.333 0.654 -1.859
-6.735 -2.996 -3.011
-6.740 -0.073 -0.872
-3.146 0.108 1.481
-0.905 -2.891 -1.711
-5.034 -1.171 -2.435
-0.983 1.613 -2.205
-4.737 0.143 0.331
-4.334 -4.119 -2.965
-2.002 -1.277 -1.927
-7.070 -2.699 -0.708
-5.734 1.778 -1.905
-8.066 -1.064 -2.944
-5.331 -2.484 -5.201
-2.998 0.358 -4.163
```

Summary:
Final energy = -127.89 eV/cell
Space group = P4/mbm (127)

(4)
Computed, not measured: crystalline LiPrMo2O8 at its relaxed geometry at the PBE with a Hubbard U level of DFT.

Cell and atoms, written as POSCAR:
```
LiPrMo2O8
1.0
-0.929 -0.322 6.017
1.248 -4.933 -0.071
10.920 -1.530 1.603
Li Pr Mo O
2 2 4 16
Cartesian
7.457 -1.402 5.952
2.534 -0.450 1.668
8.540 -3.709 2.943
2.700 -3.076 4.606
5.903 -4.688 5.744
5.337 -2.097 1.805
10.197 -3.071 6.493
1.043 -3.715 1.056
1.274 -4.714 5.464
9.966 -2.071 2.085
3.775 -1.560 6.019
7.465 -5.226 1.530
10.455 -4.967 3.598
0.785 -1.818 3.951
6.497 -2.496 3.120
4.743 -4.289 4.430
9.559 -4.759 6.943
1.681 -2.026 0.606
6.349 -3.066 6.538
4.890 -3.720 1.011
7.402 -5.054 4.835
3.838 -1.731 2.714
9.035 -2.587 5.219
2.205 -4.198 2.330
```

Summary:
Final energy = -171.73 eV/cell
N(E_F) = 0.00 states/eV/cell
Space group = P2/c (13)

(5)
Computed, not measured: crystalline Li2MoPtO6 at its relaxed geometry at the PBE with a Hubbard U level of DFT.

Cell and atoms, written as POSCAR:
```
Li2MoPtO6
1.0
4.085 0.000 0.000
0.000 5.519 0.000
0.000 0.000 5.519
Li Mo Pt O
2 1 1 6
Cartesian
3.731 2.760 0.000
3.731 0.000 2.760
2.617 0.000 0.000
2.846 2.760 2.760
2.936 1.338 1.338
2.936 1.338 4.181
0.815 2.760 2.760
0.850 0.000 0.000
2.936 4.181 4.181
2.936 4.181 1.338
```

Summary:
Final energy = -58.90 eV/cell
N(E_F) = 3.03 states/eV/cell
Space group = P4mm (99)

(6)
Computed, not measured: crystalline LiPuMoO6 at its relaxed geometry at the PBE with a Hubbard U level of DFT.

Cell and atoms, written as POSCAR:
```
LiPuMoO6
1.0
-1.558 -0.029 5.234
-2.207 -3.539 -3.526
6.754 -6.180 1.976
Li Pu Mo O
2 2 2 12
Cartesian
0.000 0.000 0.000
3.377 -3.090 0.988
-0.302 -3.914 -0.112
3.291 -5.834 3.796
-0.086 -2.744 2.808
3.075 -7.004 0.876
-1.462 -3.085 1.446
-1.379 -2.128 4.154
1.592 -7.417 -0.346
4.368 -7.620 -0.471
1.087 -3.503 1.425
-0.460 -4.487 3.636
2.687 -8.817 1.528
1.398 -2.331 4.030
3.450 -5.261 0.047
0.302 -0.931 2.155
1.902 -6.245 2.259
4.451 -6.663 2.237
```

Summary:
Final energy = -142.87 eV/cell
N(E_F) = 12.66 states/eV/cell
Space group = P-31c (163)

(7)
Computed, not measured: crystalline Li2PuMoO6 at its relaxed geometry at the PBE with a Hubbard U level of DFT.

Cell and atoms, written as POSCAR:
```
Li2PuMoO6
1.0
-3.028 2.849 0.344
-2.416 -1.975 -4.909
-3.189 -3.762 3.084
Li Pu Mo O
2 1 1 6
Cartesian
-3.811 1.462 -2.158
-4.198 0.568 1.838
-2.127 2.001 0.242
-4.742 -1.044 -0.692
-3.705 0.606 -0.223
-5.226 -1.188 1.248
-3.471 -2.240 -0.837
-0.624 0.587 0.071
-6.379 -2.130 -1.093
-4.858 -0.336 -2.564
```

Summary:
Final energy = -76.18 eV/cell
N(E_F) = 5.72 states/eV/cell
Space group = P4mm (99)

(8)
Computed, not measured: crystalline RbLi2MoO4 at its relaxed geometry at the PBE with a Hubbard U level of DFT.

Cell and atoms, written as POSCAR:
```
RbLi2MoO4
1.0
-3.133 -0.878 4.426
2.705 -4.706 0.845
2.826 4.693 -0.410
Rb Li Mo O
1 2 1 4
Cartesian
-0.214 -2.792 2.636
-0.261 0.512 3.326
2.659 -1.402 1.535
0.000 0.000 0.000
1.491 -0.742 3.224
-2.112 -2.447 4.568
1.553 -4.849 2.320
1.038 1.564 0.020
```

Summary:
Final energy = -45.88 eV/cell
N(E_F) = 0.00 states/eV/cell
Space group = I-42m (121)

final energy of number 6 (LiPuMoO6)? -142.87 eV/cell